Material: La3Tm12Th
Method: DFT, PBE-GGA
State: relaxed

Calculated values
Its density of states at the Fermi level is 1.78 states/eV/atom. For the formation energy, the calculation gives 39 meV/atom. Its spin magnetization is 0.06 Bohr magnetons per cell. The theoretical density is 8.786 g/cm³. The symmetry is P4/mmm. The total energy is -4.702 eV/atom.

Cell lengths 5.0181, 5.0181, 20.0830 Å; angles 90.00, 90.00, 90.00 degrees
Last column: nearest neighbours and their distance in Å.
Sites, in units of the cell vectors:
La (0.0000, 0.0000, 0.0000)  12 Tm 3.55-3.57
La (0.0000, 0.0000, 0.2511)  12 Tm 3.55-3.59
La (0.0000, 0.0000, 0.7489)  12 Tm 3.55-3.59
Tm (0.0000, 0.5000, 0.1262)  4 La 3.55-3.57, 8 Tm 3.55-3.57
Tm (0.0000, 0.5000, 0.3791)  2 Th 3.49, 8 Tm 3.49-3.58, 2 La 3.59
Tm (0.0000, 0.5000, 0.6209)  2 Th 3.49, 8 Tm 3.49-3.58, 2 La 3.59
Tm (0.0000, 0.5000, 0.8738)  4 La 3.55-3.57, 8 Tm 3.55-3.57
Tm (0.5000, 0.0000, 0.1262)  4 La 3.55-3.57, 8 Tm 3.55-3.57
Tm (0.5000, 0.0000, 0.3791)  2 Th 3.49, 8 Tm 3.49-3.58, 2 La 3.59
Tm (0.5000, 0.0000, 0.6209)  2 Th 3.49, 8 Tm 3.49-3.58, 2 La 3.59
Tm (0.5000, 0.0000, 0.8738)  4 La 3.55-3.57, 8 Tm 3.55-3.57
Tm (0.5000, 0.5000, 0.0000)  4 La 3.55, 8 Tm 3.57
Tm (0.5000, 0.5000, 0.2517)  4 La 3.55, 8 Tm 3.56-3.58
Tm (0.5000, 0.5000, 0.5000)  8 Tm 3.49, 4 Th 3.55
Tm (0.5000, 0.5000, 0.7483)  4 La 3.55, 8 Tm 3.56-3.58
Th (0.0000, 0.0000, 0.5000)  12 Tm 3.49-3.55